VASP calculation (PBE) on a relaxed structure of LiLaSe2O8.

Lattice parameters (Å, degrees): 7.653 7.653 7.653 38.24 38.24 38.24
Sites, in units of the cell vectors:
1 Li 0.000 0.000 0.000
2 La 0.500 0.500 0.500
3 Se 0.252 0.252 0.252
4 Se 0.748 0.748 0.748
5 O 0.066 0.421 0.701
6 O 0.172 0.172 0.172
7 O 0.299 0.934 0.579
8 O 0.421 0.701 0.066
9 O 0.579 0.299 0.934
10 O 0.701 0.066 0.421
11 O 0.828 0.828 0.828
12 O 0.934 0.579 0.299

raw formation energy: -17.2 eV/f.u.
total moment: 0.000 μB per formula unit